A) # PBE Ce2MgTl3, optimized geometry
data_Ce2MgTl3
_space_group_name_H-M_alt 'C m m m'
_space_group_IT_number 65
_space_group_name_Hall '-C 2 2'
_cell_length_a 4.8843
_cell_length_b 14.7524
_cell_length_c 4.5698
_cell_angle_alpha 90.00
_cell_angle_beta 90.00
_cell_angle_gamma 90.00
loop_
_atom_site_label
_atom_site_fract_x
_atom_site_fract_y
_atom_site_fract_z
Ce1 0.0000 0.1655 0.0000
Mg1 0.0000 0.5000 0.0000
Tl1 0.0000 0.0000 0.5000
Tl2 0.0000 0.3397 0.5000
# Fermi-level density of states	29.05	states/eV per cell
# theoretical density	9.26	g/cm³

***

B) # PBE Ce2MgTl3, optimized geometry
data_Ce2MgTl3
_space_group_name_H-M_alt 'C m c m'
_space_group_IT_number 63
_space_group_name_Hall '-C 2c 2'
_cell_length_a 3.4087
_cell_length_b 30.3306
_cell_length_c 6.5351
_cell_angle_alpha 90.00
_cell_angle_beta 90.00
_cell_angle_gamma 90.00
loop_
_atom_site_label
_atom_site_fract_x
_atom_site_fract_y
_atom_site_fract_z
Ce1 0.0000 0.9999 0.2500
Ce2 0.0000 0.1620 0.2500
Mg1 0.0000 0.3378 0.2500
Tl1 0.0000 0.2433 0.7500
Tl2 0.0000 0.4192 0.5023
# Fermi-level density of states	56.22	states/eV per cell
# theoretical density	9.02	g/cm³

***

Among the structures above, stability is greatest for A).